Here is a relaxed Ba3VCu2O8 crystal from Alexandria. Energies are from PBE with a Hubbard U.

Cell: 5.708 5.708 7.551 Å, 90.00 90.00 120.00°
Sites, in units of the cell vectors:
Ba  0.000  0.000  0.000
Ba  0.333  0.667  0.651
Ba  0.667  0.333  0.349
V  0.000  0.000  0.500
Cu  0.333  0.667  0.224
Cu  0.667  0.333  0.776
O  0.157  0.313  0.350
O  0.157  0.843  0.350
O  0.313  0.157  0.650
O  0.333  0.667  0.988
O  0.667  0.333  0.012
O  0.687  0.843  0.350
O  0.843  0.157  0.650
O  0.843  0.687  0.650

Crystal system: trigonal
Magnetization: 3.061 μB per formula unit
N(E_F): 7.89 states/eV/f.u.
Electronic total energy: -6.101 eV/atom